Version A
The following is a PBE-GGA calculation of crystalline Ti2Se2O at its relaxed geometry, from the Alexandria database.

Properties
Density (Mg/m³): 5.924
Density of states at the Fermi level (states/eV/cell): 2.784

Lattice parameters (Å, degrees): 6.2480 6.2480 3.8725 90.00 90.00 90.00
Space group P4/mbm (No. 127)
Inequivalent atoms, fractional coordinates:
Ti1 0.1633 0.3367 0.0000 x4
Se1 0.1541 0.6541 0.5000 x4
O1 0.0000 0.0000 0.0000 x2

Version B
The following is a PBE-GGA calculation of crystalline Ti2Se2O at its relaxed geometry, from the Alexandria database.

Properties
Density (Mg/m³): 4.704
Density of states at the Fermi level (states/eV/cell): 0.323

Lattice parameters (Å, degrees): 4.1210 4.1210 11.2105 90.00 90.00 90.00
Space group I4/mmm (No. 139)
Inequivalent atoms, fractional coordinates:
Ti1 0.0000 0.0000 0.1182 x4
Se1 0.0000 0.5000 0.2500 x4
O1 0.0000 0.0000 0.5000 x2

Version C
The following is a PBE-GGA calculation of crystalline Ti2Se2O at its relaxed geometry, from the Alexandria database.

Properties
Density (Mg/m³): 5.498
Density of states at the Fermi level (states/eV/cell): 18.838

Lattice parameters (Å, degrees): 6.5221 9.6989 5.1499 90.00 90.00 90.00
Space group Ibam (No. 72)
Inequivalent atoms, fractional coordinates:
Ti1 0.2115 0.0868 0.0000 x8
Se1 0.1224 0.3479 0.0000 x8
O1 0.0000 0.0000 0.2500 x4

Here is how they stack up, most stable first: version C, version A, version B.

Version A
The following is a PBE-GGA calculation of crystalline Tl3SeO at its relaxed geometry, from the Alexandria database.

Properties
Density (Mg/m³): 8.725
Density of states at the Fermi level (states/eV/cell): 9.171

Lattice parameters (Å, degrees): 3.8882 20.6939 6.6996 90.00 90.00 90.00
Space group Cmc2_1 (No. 36)
Inequivalent atoms, fractional coordinates:
Tl1 0.0000 0.0579 0.0000 x4
Tl2 0.0000 0.2092 0.1714 x4
Tl3 0.0000 0.4231 0.9850 x4
Se1 0.0000 0.1568 0.6771 x4
O1 0.0000 0.3850 0.6638 x4

Version B
The following is a PBE-GGA calculation of crystalline Tl3SeO at its relaxed geometry, from the Alexandria database.

Properties
Density (Mg/m³): 5.050
Density of states at the Fermi level (states/eV/cell): 27.361

Lattice parameters (Å, degrees): 6.1519 6.1519 6.1519 90.00 90.00 90.00
Space group Pm-3m (No. 221)
Inequivalent atoms, fractional coordinates:
Tl1 0.0000 0.0000 0.5000 x3
Se1 0.0000 0.0000 0.0000 x1
O1 0.5000 0.5000 0.5000 x1

Version C
The following is a PBE-GGA calculation of crystalline Tl3SeO at its relaxed geometry, from the Alexandria database.

Properties
Density (Mg/m³): 8.801
Density of states at the Fermi level (states/eV/cell): 3.362

Lattice parameters (Å, degrees): 5.1122 5.1122 5.1122 90.00 90.00 90.00
Space group Pm-3m (No. 221)
Inequivalent atoms, fractional coordinates:
Tl1 0.0000 0.0000 0.5000 x3
Se1 0.5000 0.5000 0.5000 x1
O1 0.0000 0.0000 0.0000 x1

Here is how they stack up, most stable first: version A, version C, version B.

Version A
The following is a PBE-GGA calculation of crystalline Tl4SeO at its relaxed geometry, from the Alexandria database.

Properties
Density (Mg/m³): 7.675

Lattice parameters (Å, degrees): 7.2169 7.1651 7.6414 90.00 92.17 90.00
Space group P2_1/m (No. 11)
Inequivalent atoms, fractional coordinates:
Tl1 0.0778 0.2500 0.3780 x2
Tl2 0.1304 0.7500 0.0878 x2
Tl3 0.4146 0.5007 0.7355 x4
Se1 0.2902 0.2500 0.0469 x2
O1 0.1970 0.7500 0.7886 x2

Version B
The following is a PBE-GGA calculation of crystalline Tl4SeO at its relaxed geometry, from the Alexandria database.

Properties
Density (Mg/m³): 7.379

Lattice parameters (Å, degrees): 18.2418 4.1373 11.0704 90.00 100.54 90.00
Space group C2/m (No. 12)
Inequivalent atoms, fractional coordinates:
Tl1 0.0654 0.0000 0.1381 x4
Tl2 0.0940 0.5000 0.8454 x4
Tl3 0.1451 0.5000 0.4815 x4
Tl4 0.2428 0.5000 0.1464 x4
Se1 0.2097 0.0000 0.3283 x4
O1 0.1150 0.5000 0.0569 x4

Here is how they stack up, most stable first: version A, version B.

Version A
The following is a PBE-GGA calculation of crystalline Tl2Se2O5 at its relaxed geometry, from the Alexandria database.

Properties
Density (Mg/m³): 4.811
Density of states at the Fermi level (states/eV/cell): 0.000

Lattice parameters (Å, degrees): 6.0327 6.6132 7.0508 114.08 94.16 114.66
Space group P1 (No. 1)
Inequivalent atoms, fractional coordinates:
Tl1 0.0000 0.0000 0.0000 x1
Tl2 0.1999 0.3856 0.6844 x1
Se1 0.4959 0.9275 0.2767 x1
Se2 0.7478 0.5438 0.4073 x1
O1 0.1841 0.8358 0.2109 x1
O2 0.4817 0.5475 0.4661 x1
O3 0.5470 0.7332 0.0593 x1
O4 0.6373 0.2051 0.2161 x1
O5 0.9238 0.5908 0.6378 x1

Version B
The following is a PBE-GGA calculation of crystalline Tl2Se2O5 at its relaxed geometry, from the Alexandria database.

Properties
Density (Mg/m³): 6.238
Density of states at the Fermi level (states/eV/cell): 0.000

Lattice parameters (Å, degrees): 12.7485 4.1496 6.9539 90.00 110.63 90.00
Space group C2/m (No. 12)
Inequivalent atoms, fractional coordinates:
Tl1 0.0725 0.0000 0.3249 x4
Se1 0.1496 0.5000 0.9640 x4
O1 0.0000 0.5000 0.0000 x2
O2 0.0960 0.5000 0.7070 x4
O3 0.1721 0.0000 0.0126 x4

Here is how they stack up, most stable first: version A, version B.